Here is a geometry-optimized Ho7Cu2Pd2 structure from Alexandria. Energies are from PBE.

Summary:
The total energy is -4.7848 eV/atom. The calculation puts the density at 8.6 g/cm³.

Unit cell a=6.545 b=6.545 c=7.158 alpha=90.00 beta=90.00 gamma=110.11
Positions (direct):
Ho: 0.000 0.000 0.000
Ho: 0.000 0.500 0.272
Ho: 0.000 0.500 0.728
Ho: 0.500 0.000 0.272
Ho: 0.500 0.000 0.728
Ho: 0.500 0.500 0.267
Ho: 0.500 0.500 0.733
Cu: 0.173 0.173 0.500
Cu: 0.827 0.827 0.500
Pd: 0.291 0.709 0.000
Pd: 0.709 0.291 0.000

Here is a geometry-optimized Tb3Sc2Ag3 structure from Alexandria. Energies are from PBE.

Summary:
The total energy is -4.6058 eV/atom. The calculation puts the density at 7.6 g/cm³.

Unit cell a=11.054 b=11.054 c=11.054 alpha=161.42 beta=153.00 gamma=32.98
Positions (direct):
Tb: 0.000 0.000 0.000
Tb: 0.376 0.876 0.500
Tb: 0.624 0.124 0.500
Sc: 0.234 0.234 0.000
Sc: 0.766 0.766 0.000
Ag: 0.125 0.625 0.500
Ag: 0.500 0.500 0.000
Ag: 0.875 0.375 0.500

Here is a geometry-optimized Na2MgSc structure from Alexandria. Energies are from PBE.

Summary:
The total energy is -2.1226 eV/atom. The calculation puts the density at 1.6 g/cm³.

Unit cell a=6.909 b=6.909 c=6.909 alpha=101.98 beta=101.98 gamma=125.80
Positions (direct):
Na: 0.106 0.625 0.981
Na: 0.375 0.356 0.481
Na: 0.644 0.125 0.019
Na: 0.875 0.894 0.519
Mg: 0.000 0.000 0.000
Mg: 0.750 0.250 0.500
Sc: 0.250 0.750 0.500
Sc: 0.500 0.500 0.000

Here is a geometry-optimized SIOF2 structure from Alexandria. Energies are from PBE.

Summary:
The uncorrected formation energy comes out at -172.8 meV per atom. The energy above the most stable polymorph in this dataset is 0 meV/atom. The calculation puts the density at 4.4 g/cm³.

Unit cell a=4.874 b=4.874 c=3.367 alpha=90.00 beta=90.00 gamma=90.00
Positions (direct):
S: 0.000 0.000 0.000
I: 0.500 0.500 0.500
O: 0.000 0.000 0.500
F: 0.000 0.500 0.000
F: 0.500 0.000 0.000

Here is a geometry-optimized InFeOs2 structure from Alexandria. Energies are from PBE.

Summary:
The total energy is -7.8517 eV/atom. The calculation puts the density at 15.0 g/cm³.

Unit cell a=4.422 b=4.422 c=4.422 alpha=60.00 beta=60.00 gamma=60.00
Positions (direct):
In: 0.000 0.000 0.000
Fe: 0.250 0.250 0.250
Os: 0.500 0.500 0.500
Os: 0.750 0.750 0.750

Here is a geometry-optimized SrLi2Sn structure from Alexandria. Energies are from PBE.

Summary:
The total energy is -2.5917 eV/atom. The calculation puts the density at 3.0 g/cm³.

Unit cell a=10.183 b=10.183 c=10.183 alpha=151.22 beta=151.22 gamma=41.16
Positions (direct):
Sr: 0.000 0.000 0.000
Sr: 0.750 0.250 0.500
Li: 0.374 0.125 0.749
Li: 0.375 0.626 0.751
Li: 0.376 0.625 0.251
Li: 0.875 0.624 0.249
Sn: 0.250 0.750 0.500
Sn: 0.500 0.500 0.000

Here is a geometry-optimized CePmAgOs structure from Alexandria. Energies are from PBE.

Summary:
The total energy is -6.2817 eV/atom. The calculation puts the density at 10.5 g/cm³.

Unit cell a=5.064 b=5.064 c=5.064 alpha=60.00 beta=60.00 gamma=60.00
Positions (direct):
Ce: 0.000 0.000 0.000
Pm: 0.500 0.500 0.500
Ag: 0.750 0.750 0.750
Os: 0.250 0.250 0.250

Here is a geometry-optimized AlFePt2 structure from Alexandria. Energies are from PBE.

Summary:
The total energy is -6.4525 eV/atom. The calculation puts the density at 13.5 g/cm³.

Unit cell a=8.794 b=8.794 c=8.794 alpha=18.22 beta=18.22 gamma=18.22
Positions (direct):
Al: 0.000 0.000 0.000
Fe: 0.255 0.255 0.255
Pt: 0.508 0.508 0.508
Pt: 0.745 0.745 0.745

Here is a geometry-optimized CeThSb2 structure from Alexandria. Energies are from PBE.

Summary:
The uncorrected formation energy comes out at -835.7 meV per atom. The energy above the most stable polymorph in this dataset is 158 meV/atom. The calculation puts the density at 8.9 g/cm³.

Unit cell a=3.853 b=3.853 c=7.713 alpha=90.00 beta=90.00 gamma=90.00
Positions (direct):
Ce: 0.000 0.000 0.000
Th: 0.000 0.000 0.500
Sb: 0.500 0.500 0.249
Sb: 0.500 0.500 0.751

Here is a geometry-optimized Tm6Au5 structure from Alexandria. Energies are from PBE.

Summary:
The total energy is -4.7094 eV/atom. The calculation puts the density at 12.5 g/cm³.

Unit cell a=8.674 b=8.674 c=8.674 alpha=146.67 beta=131.90 gamma=59.78
Positions (direct):
Tm: 0.085 0.335 0.750
Tm: 0.249 0.000 0.249
Tm: 0.415 0.665 0.750
Tm: 0.585 0.335 0.250
Tm: 0.751 0.000 0.751
Tm: 0.915 0.665 0.250
Au: 0.000 0.500 0.500
Au: 0.171 0.171 0.000
Au: 0.342 0.842 0.500
Au: 0.658 0.158 0.500
Au: 0.829 0.829 0.000

Here is a geometry-optimized InSb2Pb structure from Alexandria. Energies are from PBE.

Summary:
The uncorrected formation energy comes out at 155.2 meV per atom. The energy above the most stable polymorph in this dataset is 106 meV/atom. The calculation puts the density at 8.2 g/cm³.

Unit cell a=3.408 b=3.408 c=9.850 alpha=90.00 beta=90.00 gamma=90.00
Positions (direct):
In: 0.000 0.000 0.000
Sb: 0.000 0.000 0.521
Sb: 0.500 0.500 0.760
Pb: 0.500 0.500 0.267

Here is a geometry-optimized Ca3SbP structure from Alexandria. Energies are from PBE.

Summary:
The uncorrected formation energy comes out at -971.0 meV per atom. The energy above the most stable polymorph in this dataset is 123 meV/atom. The calculation puts the density at 3.0 g/cm³.

Unit cell a=4.290 b=7.701 c=9.168 alpha=90.00 beta=90.00 gamma=90.00
Positions (direct):
Ca: 0.250 0.032 0.183
Ca: 0.250 0.250 0.547
Ca: 0.250 0.468 0.183
Ca: 0.750 0.532 0.817
Ca: 0.750 0.750 0.453
Ca: 0.750 0.968 0.817
Sb: 0.250 0.250 0.886
Sb: 0.750 0.750 0.114
P: 0.250 0.750 0.651
P: 0.750 0.250 0.349